Entry 1:
# PBE NpGa2PdO8, relaxed
# - Energy: -84.12 eV for the cell shown
# - Energy relative to the elements, uncorrected: -1.6887 eV/atom
data_NpGa2PdO8
_symmetry_space_group_name_H-M 'P 1 2/m 1'
_symmetry_Int_Tables_number 10
_cell_length_a 4.7853
_cell_length_b 6.1391
_cell_length_c 4.7965
_cell_angle_alpha 90.00
_cell_angle_beta 92.35
_cell_angle_gamma 90.00
loop_
_symmetry_equiv_pos_as_xyz
'x,y,z'
'-x,-y,-z'
'-x,y,-z'
'x,-y,z'
loop_
_atom_site_label
_atom_site_type_symbol
_atom_site_fract_x
_atom_site_fract_y
_atom_site_fract_z
Np1 Np 0.0000 0.0000 0.0000
Ga1 Ga 0.5000 0.2608 0.5000
Pd1 Pd 0.0000 0.5000 0.0000
O1 O 0.1984 0.2512 0.8049
O2 O 0.3080 0.5000 0.3121
O3 O 0.3128 0.0000 0.3156

Entry 2:
# PBE GeHSeO, relaxed
# - Energy: -18.77 eV for the cell shown
data_GeHSeO
_symmetry_space_group_name_H-M 'P 1 m 1'
_symmetry_Int_Tables_number 6
_cell_length_a 3.6963
_cell_length_b 3.9633
_cell_length_c 4.7021
_cell_angle_alpha 90.00
_cell_angle_beta 96.32
_cell_angle_gamma 90.00
loop_
_symmetry_equiv_pos_as_xyz
'x,y,z'
'x,-y,z'
loop_
_atom_site_label
_atom_site_type_symbol
_atom_site_fract_x
_atom_site_fract_y
_atom_site_fract_z
Ge1 Ge 0.0000 0.0000 0.0000
H1 H 0.1671 0.5000 0.3201
Se1 Se 0.4543 0.0000 0.6580
O1 O 0.0028 0.5000 0.1389

Entry 3:
# PBE Dy2Er5In3, relaxed
# - Energy: -162.70 eV for the cell shown
# - Calculated formation energy: -44 meV per atom
data_Dy2Er5In3
_symmetry_space_group_name_H-M 'I b a m'
_symmetry_Int_Tables_number 72
_symmetry_space_group_name_Hall '-I 2 2c'
_cell_length_a 12.5046
_cell_length_b 15.0537
_cell_length_c 6.5362
_cell_angle_alpha 90.00
_cell_angle_beta 90.00
_cell_angle_gamma 90.00
loop_
_atom_site_label
_atom_site_type_symbol
_atom_site_fract_x
_atom_site_fract_y
_atom_site_fract_z
Dy1 Dy 0.1490 0.1994 0.0000
Er1 Er 0.0000 0.0000 0.2500
Er2 Er 0.0765 0.3398 0.5000
Er3 Er 0.2416 0.5000 0.2500
In1 In 0.0000 0.5000 0.2500
In2 In 0.1369 0.1481 0.5000

Entry 4:
# PBE Cr2SiHg, relaxed
# - Energy: -46.74 eV for the cell shown
# - Energy relative to the elements, uncorrected: 0.4003 eV/atom
data_Cr2SiHg
_symmetry_space_group_name_H-M 'C 1 m 1'
_symmetry_Int_Tables_number 8
_cell_length_a 8.3579
_cell_length_b 2.9771
_cell_length_c 5.2122
_cell_angle_alpha 90.00
_cell_angle_beta 97.60
_cell_angle_gamma 90.00
loop_
_symmetry_equiv_pos_as_xyz
'x,y,z'
'x,-y,z'
'x+1/2,y+1/2,z'
'x+1/2,-y+1/2,z'
loop_
_atom_site_label
_atom_site_type_symbol
_atom_site_fract_x
_atom_site_fract_y
_atom_site_fract_z
Cr1 Cr 0.0000 0.0000 0.0000
Cr2 Cr 0.2226 0.5000 0.1783
Si1 Si 0.2554 0.0000 0.8053
Hg1 Hg 0.4738 0.0000 0.4837

Entry 5:
# PBE Mo2RhW, relaxed
# - Energy: -83.10 eV for the cell shown
# - Calculated formation energy: 104 meV per atom
data_Mo2RhW
_symmetry_space_group_name_H-M 'C m m m'
_symmetry_Int_Tables_number 65
_symmetry_space_group_name_Hall '-C 2 2'
_cell_length_a 5.5957
_cell_length_b 8.1184
_cell_length_c 2.7411
_cell_angle_alpha 90.00
_cell_angle_beta 90.00
_cell_angle_gamma 90.00
loop_
_atom_site_label
_atom_site_type_symbol
_atom_site_fract_x
_atom_site_fract_y
_atom_site_fract_z
Mo1 Mo 0.2500 0.2500 0.0000
Rh1 Rh 0.0000 0.0000 0.5000
W1 W 0.0000 0.5000 0.5000

Entry 6:
# PBE K2Li2SbSe4, relaxed
# - Energy: -64.41 eV for the cell shown
# - Energy relative to the elements, uncorrected: -0.9023 eV/atom
data_K2Li2SbSe4
_symmetry_space_group_name_H-M 'C 1 2/m 1'
_symmetry_Int_Tables_number 12
_cell_length_a 15.3578
_cell_length_b 4.1619
_cell_length_c 7.8474
_cell_angle_alpha 90.00
_cell_angle_beta 110.94
_cell_angle_gamma 90.00
loop_
_symmetry_equiv_pos_as_xyz
'x,y,z'
'-x,-y,-z'
'-x,y,-z'
'x,-y,z'
'x+1/2,y+1/2,z'
'-x+1/2,-y+1/2,-z'
'-x+1/2,y+1/2,-z'
'x+1/2,-y+1/2,z'
loop_
_atom_site_label
_atom_site_type_symbol
_atom_site_fract_x
_atom_site_fract_y
_atom_site_fract_z
K1 K 0.1411 0.0000 0.0537
Li1 Li 0.1835 0.5000 0.4906
Sb1 Sb 0.0000 0.0000 0.5000
Se1 Se 0.0168 0.5000 0.2615
Se2 Se 0.1958 0.0000 0.6777

Entry 7:
# PBE LaPm8Pr3, relaxed
# - Energy: -101.60 eV for the cell shown
# - Calculated formation energy: 539 meV per atom
data_LaPm8Pr3
_symmetry_space_group_name_H-M 'I -4 2 m'
_symmetry_Int_Tables_number 121
_symmetry_space_group_name_Hall 'I -4 2'
_cell_length_a 8.8911
_cell_length_b 8.8911
_cell_length_c 11.5479
_cell_angle_alpha 90.00
_cell_angle_beta 90.00
_cell_angle_gamma 90.00
loop_
_atom_site_label
_atom_site_type_symbol
_atom_site_fract_x
_atom_site_fract_y
_atom_site_fract_z
La1 La 0.0000 0.0000 0.0000
Pm1 Pm 0.1224 0.1224 0.2493
Pm2 Pm 0.2481 0.2481 0.9971
Pr1 Pr 0.0000 0.0000 0.5000
Pr2 Pr 0.0000 0.5000 0.2500

Entry 8:
# PBE SrCu2IrPd, relaxed
# - Energy: -14.29 eV for the cell shown
# - Calculated formation energy: 1927 meV per atom
data_SrCu2IrPd
_symmetry_space_group_name_H-M 'P 4/m m m'
_symmetry_Int_Tables_number 123
_symmetry_space_group_name_Hall '-P 4 2'
_cell_length_a 4.9447
_cell_length_b 4.9447
_cell_length_c 4.9409
_cell_angle_alpha 90.00
_cell_angle_beta 90.00
_cell_angle_gamma 90.00
loop_
_atom_site_label
_atom_site_type_symbol
_atom_site_fract_x
_atom_site_fract_y
_atom_site_fract_z
Sr1 Sr 0.0000 0.0000 0.0000
Cu1 Cu 0.0000 0.5000 0.0000
Ir1 Ir 0.0000 0.0000 0.5000
Pd1 Pd 0.5000 0.5000 0.5000